No. 1
Computed, not measured: crystalline BaLiMoAs2 at its relaxed geometry at the PBEsol level of DFT.

Unit cell a=5.594 b=5.594 c=4.973 alpha=90.00 beta=90.00 gamma=90.00
Fractional coordinates of all 5 atoms:
Ba: 0.000 0.000 0.000
Li: 0.000 0.000 0.500
Mo: 0.500 0.500 0.500
As: 0.000 0.500 0.000
As: 0.500 0.000 0.000

Size of the total moment, μB per atom: 0.84
E_form, eV per atom: 1.700

No. 2
Computed, not measured: crystalline ZnCdSe at its relaxed geometry at the PBEsol level of DFT.

Unit cell a=3.782 b=5.812 c=11.425 alpha=90.00 beta=90.00 gamma=90.00
Fractional coordinates of all 12 atoms:
Zn: 0.000 0.000 0.000
Zn: 0.000 0.500 0.500
Zn: 0.500 0.000 0.500
Zn: 0.500 0.500 0.000
Cd: 0.000 0.000 0.325
Cd: 0.000 0.500 0.825
Cd: 0.500 0.000 0.825
Cd: 0.500 0.500 0.325
Se: 0.000 0.000 0.638
Se: 0.000 0.500 0.138
Se: 0.500 0.000 0.138
Se: 0.500 0.500 0.638

Size of the total moment, μB per atom: 0.00
Raw formation energy, eV/atom: 0.025

No. 3
Computed, not measured: crystalline HfRhAu2 at its relaxed geometry at the PBEsol level of DFT.

Unit cell a=6.448 b=6.448 c=6.448 alpha=90.00 beta=90.00 gamma=90.00
Fractional coordinates of all 16 atoms:
Hf: 0.000 0.000 0.000
Hf: 0.000 0.500 0.500
Hf: 0.500 0.000 0.500
Hf: 0.500 0.500 0.000
Rh: 0.000 0.000 0.500
Rh: 0.000 0.500 0.000
Rh: 0.500 0.000 0.000
Rh: 0.500 0.500 0.500
Au: 0.250 0.250 0.250
Au: 0.250 0.250 0.750
Au: 0.250 0.750 0.250
Au: 0.250 0.750 0.750
Au: 0.750 0.250 0.250
Au: 0.750 0.250 0.750
Au: 0.750 0.750 0.250
Au: 0.750 0.750 0.750

Size of the total moment, μB per atom: 0.00
E_form, eV per atom: -0.381

No. 4
Computed, not measured: crystalline La2PbO at its relaxed geometry at the PBEsol level of DFT.

Unit cell a=7.383 b=7.383 c=7.383 alpha=90.00 beta=90.00 gamma=90.00
Fractional coordinates of all 16 atoms:
La: 0.250 0.250 0.250
La: 0.250 0.250 0.750
La: 0.250 0.750 0.250
La: 0.250 0.750 0.750
La: 0.750 0.250 0.250
La: 0.750 0.250 0.750
La: 0.750 0.750 0.250
La: 0.750 0.750 0.750
Pb: 0.000 0.000 0.000
Pb: 0.000 0.500 0.500
Pb: 0.500 0.000 0.500
Pb: 0.500 0.500 0.000
O: 0.000 0.000 0.500
O: 0.000 0.500 0.000
O: 0.500 0.000 0.000
O: 0.500 0.500 0.500

Size of the total moment, μB per atom: 0.00
Raw formation energy, eV/atom: -0.772

The evaluated total DFT energy (no corrections) for the records listed, in turn: -17.597 -6.556 -28.013 -23.030 eV per formula unit.